BaSbSe2 | the Alexandria database | PBE | optimized geometry; E_form (uncorrected) = -100.7 kJ/mol of atoms; M_tot = 0.00 μB/cell; DOS(E_F) = 0.9 states/eV/cell
1.0
-5.453 0.103 -1.251
0.908 -0.123 -3.967
-0.142 -5.656 0.157
Se Ba Sb
2 1 1
direct
0.500 0.999 0.384 Se
0.000 0.996 0.885 Se
0.000 0.498 0.385 Ba
0.500 0.007 0.846 Sb